(1)
## PmEuAs2 (PBE)

Data for an optimized crystal structure of PmEuAs2.

Cell: 3.265 5.475 5.475 Å, 90.00 90.00 90.00°
Each line ends with the local moment (μB).
Fractional positions:
Eu 0.500 0.500 0.500  6.77
As 0.000 0.000 0.500  -0.04
As 0.000 0.500 0.000  -0.04
Pm 0.500 0.000 0.000  -0.01

Space group: P4/mmm (123)



(2)
## PmEuAs (PBE)

Data for an optimized crystal structure of PmEuAs.

Cell: 5.020 5.020 5.020 Å, 60.00 60.00 60.00°
Each line ends with the local moment (μB).
Fractional positions:
Eu 0.500 0.500 0.500  6.95
As 0.250 0.250 0.250  -0.05
Pm 0.000 0.000 0.000  0.32

Space group: F-43m (216)



(3)
## PmEuZnAs (PBE)

Data for an optimized crystal structure of PmEuZnAs.

Cell: 5.186 5.186 5.186 Å, 60.00 60.00 60.00°
Each line ends with the local moment (μB).
Fractional positions:
Eu 0.250 0.250 0.250  6.83
As 0.500 0.500 0.500  -0.04
Zn 0.000 0.000 0.000  0.03
Pm 0.750 0.750 0.750  0.16

Space group: F-43m (216)



(4)
## PrEuAs2 (PBE)

Data for an optimized crystal structure of PrEuAs2.

Cell: 4.304 4.304 7.461 Å, 73.23 73.23 60.00°
Each line ends with the local moment (μB).
Fractional positions:
Eu 0.500 0.500 0.500  6.62
Pr 0.000 0.000 0.000  -0.03
As 0.250 0.250 0.250  -0.07
As 0.750 0.750 0.750  -0.07

Space group: R-3m (166)



E_form for the records above, in order: -1.039; -0.816; -0.621; -1.285 eV/atom
Energy for the records above, in order: -7.12; -7.37; -5.86; -7.37 eV/atom
DOS(E_F) for the records above, in order: 4.2; 2.1; 3.8; 10.8 states/eV/cell